1.
NiHN2F: optimized geometry, PBE+U.

Summary:
Space group ... No. 123
Density of states at the Fermi level ... 0.54 states/eV per atom

```
5
Lattice="3.777 0.000 0.000 0.000 3.777 0.000 0.000 0.000 4.121" Properties=species:S:1:pos:R:3 pbc="T T T"
Ni 0.000 0.000 0.000
H 1.888 1.888 2.061
N 0.000 1.888 0.000
N 1.888 0.000 0.000
F 0.000 0.000 2.061
```


2.
NiHN2F: optimized geometry, PBE+U.

Summary:
Space group ... No. 123
Density of states at the Fermi level ... 0.42 states/eV per atom

```
5
Lattice="2.923 0.000 0.000 0.000 2.923 0.000 0.000 0.000 4.680" Properties=species:S:1:pos:R:3 pbc="T T T"
Ni 0.000 0.000 0.000
H 1.462 1.462 2.340
N 0.000 1.462 2.340
N 1.462 0.000 2.340
F 1.462 1.462 0.000
```


Ordered energy results: -3.371, -3.770; unit eV per atom.